Version P
5
Lattice="4.516 0.000 0.000 0.000 4.516 0.000 0.000 0.000 4.516" Properties=species:S:1:pos:R:3 comment="Hf3ZrN (PBE-GGA, optimized geometry)" dos_ef_per_ev_fu=4.48 pbc="T T T"
N 0.000 0.000 0.000
Hf 0.000 2.258 0.000
Hf 2.258 0.000 0.000
Hf 0.000 0.000 2.258
Zr 2.258 2.258 2.258

=====

Version Q
10
Lattice="5.654 -0.015 0.032 0.009 5.475 2.710 -0.025 -0.002 6.109" Properties=species:S:1:pos:R:3 comment="Hf3ZrN (PBE-GGA, optimized geometry)" dos_ef_per_ev_fu=2.75 pbc="T T T"
Hf 3.271 2.867 5.474
Hf 2.295 0.081 4.109
Hf 0.568 4.225 4.576
Hf 5.240 4.204 7.649
Hf 2.312 2.889 2.367
Hf 0.551 1.483 6.278
N 1.407 3.502 6.480
N 1.403 4.935 2.676
Zr 5.107 1.480 3.258
Zr 3.301 0.097 1.012

=====

Version R
5
Lattice="-0.957 4.362 -2.398 -3.595 1.083 3.405 3.443 2.343 2.890" Properties=species:S:1:pos:R:3 comment="Hf3ZrN (PBE-GGA, optimized geometry)" dos_ef_per_ev_fu=8.67 pbc="T T T"
Hf 1.721 1.172 1.445
Hf -1.798 0.542 1.703
Hf -0.478 2.181 -1.199
Zr 0.000 0.000 0.000
N -0.555 3.895 1.949

=====

Version S
10
Lattice="6.355 0.972 0.111 -0.804 6.379 -0.111 -2.901 -3.581 4.511" Properties=species:S:1:pos:R:3 comment="Hf3ZrN (PBE-GGA, optimized geometry)" dos_ef_per_ev_fu=4.35 pbc="T T T"
Hf -0.555 -2.416 3.400
Hf 2.173 1.194 3.400
Hf 3.205 6.186 1.111
Hf 3.645 3.018 1.150
Hf 0.478 2.576 1.111
Hf -0.995 0.752 3.361
N 1.878 4.353 1.064
N 0.772 -0.583 3.447
Zr 0.862 -0.651 1.169
Zr 1.788 4.421 3.342

=====

Name the most stable of them. version Q.

=====

Version P
10
Lattice="5.964 0.203 0.459 -1.832 5.679 0.459 -1.784 -2.539 3.991" Properties=species:S:1:pos:R:3 comment="Hf2ZrN2 (PBE-GGA, optimized geometry)" dos_ef_per_ev_fu=2.91 pbc="T T T"
N -0.393 -0.372 3.222
N 2.741 3.715 1.685
N 0.394 3.467 3.681
N 1.954 -0.124 1.227
Zr 2.210 2.192 3.681
Zr 0.139 1.151 1.227
Hf -1.269 3.936 2.241
Hf 3.617 -0.593 2.667
Hf 3.005 1.733 0.671
Hf -0.657 1.610 4.236

=====

Version Q
5
Lattice="-0.033 -1.119 -2.928 -3.048 -1.767 2.388 -4.986 3.386 -1.237" Properties=species:S:1:pos:R:3 comment="Hf2ZrN2 (PBE-GGA, optimized geometry)" dos_ef_per_ev_fu=3.72 pbc="T T T"
Hf -3.839 1.053 -2.876
Hf -4.228 -0.552 1.098
Zr -1.541 -1.443 -0.270
N -5.672 0.983 0.528
N -2.396 -0.483 -2.305

=====

Name the most stable of them. version P.

=====

Version P
14
Lattice="7.485 0.000 0.000 3.742 6.482 0.000 3.742 2.161 4.284" Properties=species:S:1:pos:R:3 comment="HfZr3N3 (PBE-GGA, optimized geometry)" dos_ef_per_ev_fu=3.79 pbc="T T T"
Zr 6.868 6.982 2.948
Zr 9.481 6.185 1.336
Zr 8.101 1.661 1.336
Zr 5.488 2.457 2.948
Zr 4.872 5.118 1.336
Zr 10.097 3.525 2.948
Hf 3.742 2.161 0.360
Hf 11.227 6.482 3.924
N 12.490 8.226 3.497
N 5.884 1.939 0.787
N 2.479 0.416 0.787
N 9.085 6.704 3.497
N 2.863 4.127 0.787
N 12.106 4.516 3.497

=====

Version Q
14
Lattice="-6.150 -1.404 -1.716 2.732 -1.713 -4.848 0.910 -4.309 3.808" Properties=species:S:1:pos:R:3 comment="HfZr3N3 (PBE-GGA, optimized geometry)" dos_ef_per_ev_fu=4.13 pbc="T T T"
Zr 1.287 -3.772 2.017
Zr -1.839 -4.547 1.404
Zr -1.797 -4.906 -1.850
Zr 2.355 -2.251 -3.056
Zr -0.710 -2.520 -0.906
Zr -0.668 -2.879 -4.159
Hf 1.572 -4.532 -1.028
Hf -4.080 -2.895 -1.727
N -1.438 -0.462 -0.442
N 0.363 -3.836 -2.553
N -2.871 -3.590 -0.202
N -2.321 -2.808 -2.810
N -0.186 -4.618 0.055
N -1.069 -6.964 -2.314

=====

Name the most stable of them. version P.

=====

Version P
8
Lattice="-1.316 6.583 -1.667 0.343 -4.819 -4.950 -5.547 -0.967 0.558" Properties=species:S:1:pos:R:3 comment="Na3Hf (PBE-GGA, optimized geometry)" dos_ef_per_ev_fu=4.75 pbc="T T T"
Na -5.195 3.926 -1.805
Na -4.548 0.689 -0.986
Na -5.026 1.556 -4.239
Na -1.325 -3.129 -4.255
Na -1.972 0.108 -5.074
Na -1.493 -0.760 -1.821
Hf -4.370 -1.744 -3.438
Hf -2.150 2.541 -2.622

=====

Version Q
4
Lattice="4.870 0.000 0.000 0.000 4.870 0.000 0.000 0.000 4.870" Properties=species:S:1:pos:R:3 comment="Na3Hf (PBE-GGA, optimized geometry)" dos_ef_per_ev_fu=3.23 pbc="T T T"
Hf 0.000 0.000 0.000
Na 2.435 2.435 0.000
Na 0.000 2.435 2.435
Na 2.435 0.000 2.435

=====

Name the most stable of them. version Q.

=====

Version P
5
Lattice="4.727 0.000 0.000 0.000 4.727 0.000 0.000 0.000 4.727" Properties=species:S:1:pos:R:3 comment="NaHfNb3 (PBE-GGA, optimized geometry)" dos_ef_per_ev_fu=7.36 pbc="T T T"
Na 0.000 0.000 0.000
Hf 2.364 2.364 2.364
Nb 0.000 0.000 2.364
Nb 2.364 0.000 0.000
Nb 0.000 2.364 0.000

=====

Version Q
5
Lattice="-2.491 4.378 0.156 -2.643 -1.644 3.964 3.494 1.877 3.108" Properties=species:S:1:pos:R:3 comment="NaHfNb3 (PBE-GGA, optimized geometry)" dos_ef_per_ev_fu=8.91 pbc="T T T"
Nb -1.245 2.189 0.078
Nb 1.747 0.939 1.554
Nb -1.321 -0.822 1.982
Na -0.820 2.306 3.614
Hf 0.000 0.000 0.000

=====

Name the most stable of them. version Q.

=====

Version P
4
Lattice="-3.695 -3.221 0.166 -4.475 1.470 1.367 -3.616 0.244 -3.303" Properties=species:S:1:pos:R:3 comment="NaHf2Nb (PBE-GGA, optimized geometry)" dos_ef_per_ev_fu=5.69 pbc="T T T"
Nb -5.893 -0.753 -0.885
Hf -2.946 -0.377 -0.443
Hf -8.839 -1.130 -1.328
Na 0.000 0.000 0.000

=====

Version Q
8
Lattice="-1.445 1.072 3.828 -3.135 -2.811 -0.397 3.523 -7.941 5.890" Properties=species:S:1:pos:R:3 comment="NaHf2Nb (PBE-GGA, optimized geometry)" dos_ef_per_ev_fu=3.55 pbc="T T T"
Hf -1.418 -7.525 7.413
Hf -0.439 -1.649 3.880
Hf 0.977 -6.561 5.711
Hf -1.235 -3.626 1.639
Nb 0.000 0.000 0.000
Nb -0.106 -3.870 5.717
Na -2.290 -0.870 1.715
Na -0.951 -5.811 3.605

=====

Name the most stable of them. version P.

=====

Version P
8
Lattice="-6.994 -0.736 -4.742 1.389 -8.334 -0.756 -4.234 -4.971 -0.570" Properties=species:S:1:pos:R:3 comment="Na2HfNb (PBE-GGA, optimized geometry)" dos_ef_per_ev_fu=3.99 pbc="T T T"
Hf 0.000 0.000 0.000
Hf -7.015 -5.121 -4.031
Na -8.092 -11.589 -5.232
Na -1.128 -6.550 -1.251
Na -5.265 -7.205 -2.496
Na -5.193 -2.738 -3.158
Nb -2.824 -8.920 -2.038
Nb -2.803 -4.535 -2.749

=====

Version Q
4
Lattice="0.000 3.522 3.522 3.522 0.000 3.522 3.522 3.522 0.000" Properties=species:S:1:pos:R:3 comment="Na2HfNb (PBE-GGA, optimized geometry)" dos_ef_per_ev_fu=2.35 pbc="T T T"
Na 5.283 5.283 5.283
Na 1.761 1.761 1.761
Nb 0.000 0.000 0.000
Hf 3.522 3.522 3.522

=====

Name the most stable of them. version P.

=====

Version P
8
Lattice="6.935 0.000 0.000 0.000 6.935 0.000 3.468 3.468 2.829" Properties=species:S:1:pos:R:3 comment="NaHfNi2 (PBE-GGA, optimized geometry)" dos_ef_per_ev_fu=1.46 pbc="T T T"
Ni 1.630 5.201 0.707
Ni 8.669 8.772 2.121
Ni 5.305 1.734 0.707
Ni 5.201 5.098 2.121
Na 3.468 6.935 1.414
Na 3.468 3.468 0.000
Hf 0.000 0.000 0.000
Hf 6.935 3.468 1.414

=====

Version Q
4
Lattice="-0.908 -4.339 0.450 -0.209 -1.823 4.061 -3.927 -1.294 1.662" Properties=species:S:1:pos:R:3 comment="NaHfNi2 (PBE-GGA, optimized geometry)" dos_ef_per_ev_fu=3.28 pbc="T T T"
Na 0.000 0.000 0.000
Hf -2.522 -3.728 3.087
Ni -3.783 -5.592 4.630
Ni -1.261 -1.864 1.543

=====

Name the most stable of them. version Q.

=====

Version P
10
Lattice="7.744 0.000 0.000 0.000 7.744 0.000 0.000 0.000 2.971" Properties=species:S:1:pos:R:3 comment="NaHf2Ni2 (PBE-GGA, optimized geometry)" dos_ef_per_ev_fu=3.26 pbc="T T T"
Na 0.000 0.000 0.000
Na 3.872 3.872 0.000
Hf 6.593 5.023 0.000
Hf 2.721 6.593 0.000
Hf 1.151 2.721 0.000
Hf 5.023 1.151 0.000
Ni 4.926 6.690 1.486
Ni 2.818 1.054 1.486
Ni 1.054 4.926 1.486
Ni 6.690 2.818 1.486

=====

Version Q
10
Lattice="-4.429 6.106 0.795 -4.566 -2.599 -5.471 -1.680 -1.493 2.111" Properties=species:S:1:pos:R:3 comment="NaHf2Ni2 (PBE-GGA, optimized geometry)" dos_ef_per_ev_fu=2.32 pbc="T T T"
Hf -6.161 3.518 -0.162
Hf -7.599 1.053 -3.049
Hf -3.076 0.961 0.484
Hf -4.514 -1.504 -2.403
Ni -6.730 3.687 -2.746
Ni -3.372 3.504 -0.204
Ni -5.624 0.003 -4.472
Ni -2.265 -0.180 -1.930
Na -4.498 1.754 -2.338
Na 0.000 0.000 0.000

=====

Name the most stable of them. version Q.

=====

Version P
5
Lattice="4.914 0.000 0.000 0.000 4.914 0.000 0.000 0.000 4.914" Properties=species:S:1:pos:R:3 comment="NaHf3Ni (PBE-GGA, optimized geometry)" dos_ef_per_ev_fu=7.70 pbc="T T T"
Hf 2.457 0.000 0.000
Hf 0.000 0.000 2.457
Hf 0.000 2.457 0.000
Ni 0.000 0.000 0.000
Na 2.457 2.457 2.457

=====

Version Q
5
Lattice="4.854 0.000 0.000 0.000 4.854 0.000 0.000 0.000 4.854" Properties=species:S:1:pos:R:3 comment="NaHf3Ni (PBE-GGA, optimized geometry)" dos_ef_per_ev_fu=10.36 pbc="T T T"
Hf 0.000 0.000 2.427
Hf 2.427 0.000 0.000
Hf 0.000 2.427 0.000
Na 0.000 0.000 0.000
Ni 2.427 2.427 2.427

=====

Name the most stable of them. version P.

=====

Version P
5
Lattice="-1.299 1.318 4.777 -3.046 -4.108 0.305 3.909 -2.763 1.825" Properties=species:S:1:pos:R:3 comment="Na3HfNi (PBE-GGA, optimized geometry)" dos_ef_per_ev_fu=6.69 pbc="T T T"
Na 1.954 -1.381 0.913
Na -1.523 -2.054 0.152
Na -0.650 0.659 2.388
Hf -0.218 -2.776 3.453
Ni 0.000 0.000 0.000

=====

Version Q
5
Lattice="6.073 0.000 0.000 0.000 6.073 0.000 0.000 0.000 6.073" Properties=species:S:1:pos:R:3 comment="Na3HfNi (PBE-GGA, optimized geometry)" dos_ef_per_ev_fu=15.48 pbc="T T T"
Hf 0.000 0.000 0.000
Na 0.000 0.000 3.037
Na 0.000 3.037 0.000
Na 3.037 0.000 0.000
Ni 3.037 3.037 3.037

=====

Name the most stable of them. version P.

=====

Version P
5
Lattice="-3.610 -2.464 1.110 1.483 -0.258 4.251 -2.259 3.768 1.017" Properties=species:S:1:pos:R:3 comment="NaHf3O (PBE-GGA, optimized geometry)" dos_ef_per_ev_fu=3.07 pbc="T T T"
O 0.000 0.000 0.000
Hf 0.742 -0.129 2.126
Hf -1.130 1.884 0.508
Hf -1.805 -1.232 0.555
Na -2.193 0.523 3.189

=====

Version Q
5
Lattice="4.920 0.000 0.000 0.000 4.920 0.000 0.000 0.000 4.920" Properties=species:S:1:pos:R:3 comment="NaHf3O (PBE-GGA, optimized geometry)" dos_ef_per_ev_fu=5.33 pbc="T T T"
Na 0.000 0.000 0.000
O 2.460 2.460 2.460
Hf 0.000 2.460 0.000
Hf 2.460 0.000 0.000
Hf 0.000 0.000 2.460

=====

Name the most stable of them. version P.